# 1
The following is a PBE calculation of a relaxed La2IrPdN crystal, from Alexandria via LeMat-Bulk.

abc: 5.2734 5.2734 3.8256
angles: 90.00 90.00 90.00
Fractional coordinates of all 5 atoms:
N 0.0000 0.0000 0.0000
La 0.0000 0.5000 0.0000
La 0.5000 0.0000 0.0000
Pd 0.5000 0.5000 0.5000
Ir 0.0000 0.0000 0.5000

Computed properties:
The density of states at the Fermi level comes out at 2.7 states/eV/cell. Its total moment is 0.0 μB per cell. The formation energy (no corrections) is -0.8600 eV per atom. As for the symmetry: P4/mmm, No. 123.

# 2
The following is a PBE calculation of a relaxed LaPm2IrN4 crystal, from Alexandria via LeMat-Bulk.

abc: 3.5069 6.3016 11.9445
angles: 90.00 90.00 106.16
Fractional coordinates of all 16 atoms:
Ir 0.8493 0.6985 0.7500
N 0.0000 0.0000 0.0000
Pm 0.6308 0.2616 0.4556
N 0.2729 0.5459 0.3680
N 0.0000 0.0000 0.5000
N 0.5569 0.1139 0.2500
N 0.7271 0.4541 0.6320
Pm 0.3692 0.7384 0.9556
Pm 0.6308 0.2616 0.0444
La 0.8894 0.7787 0.2500
N 0.4431 0.8861 0.7500
La 0.1106 0.2213 0.7500
Pm 0.3692 0.7384 0.5444
N 0.2729 0.5459 0.1320
N 0.7271 0.4541 0.8680
Ir 0.1507 0.3015 0.2500

Computed properties:
The density of states at the Fermi level comes out at 5.9 states/eV/cell. Its total moment is 0.0 μB per cell. The formation energy (no corrections) is -0.8398 eV per atom. As for the symmetry: Cmcm, No. 63.

# 3
The following is a PBE calculation of a relaxed LaPr2IrN4 crystal, from Alexandria via LeMat-Bulk.

abc: 3.5377 6.3588 12.1451
angles: 90.00 90.00 106.15
Fractional coordinates of all 16 atoms:
Ir 0.8473 0.6946 0.7500
Pr 0.3688 0.7376 0.5446
N 0.0000 0.0000 0.5000
N 0.2755 0.5510 0.1355
La 0.1101 0.2203 0.7500
N 0.7245 0.4490 0.6355
N 0.4399 0.8798 0.7500
La 0.8899 0.7797 0.2500
Pr 0.6312 0.2624 0.0446
Pr 0.3688 0.7376 0.9554
N 0.5601 0.1202 0.2500
Pr 0.6312 0.2624 0.4554
N 0.0000 0.0000 0.0000
Ir 0.1527 0.3054 0.2500
N 0.2755 0.5510 0.3645
N 0.7245 0.4490 0.8645

Computed properties:
The density of states at the Fermi level comes out at 6.1 states/eV/cell. Its total moment is 0.0 μB per cell. The formation energy (no corrections) is -0.7584 eV per atom. As for the symmetry: Cmcm, No. 63.

# 4
The following is a PBE calculation of a relaxed La6Ir2PtN crystal, from Alexandria via LeMat-Bulk.

abc: 6.8895 7.4942 10.4643
angles: 90.00 92.10 90.00
Fractional coordinates of all 20 atoms:
Ir 0.5425 0.6024 0.7355
Ir 0.9575 0.1024 0.7645
La 0.3027 0.6636 0.0779
Pt 0.0000 0.5000 0.5000
La 0.6574 0.3084 0.5655
N 0.0000 0.5000 0.0000
La 0.1973 0.1636 0.4221
Ir 0.0425 0.8976 0.2355
La 0.6973 0.3364 0.9221
La 0.1574 0.1916 0.0655
Pt 0.5000 0.0000 0.0000
La 0.1445 0.4428 0.7664
La 0.8426 0.8084 0.9345
La 0.6445 0.0572 0.2664
La 0.8027 0.8364 0.5779
Ir 0.4575 0.3976 0.2645
La 0.3426 0.6916 0.4345
N 0.5000 0.0000 0.5000
La 0.8555 0.5572 0.2336
La 0.3555 0.9428 0.7336

Computed properties:
The density of states at the Fermi level comes out at 16.1 states/eV/cell. Its total moment is 0.0 μB per cell. The formation energy (no corrections) is -0.8276 eV per atom. As for the symmetry: P2_1/c, No. 14.

# 5
The following is a PBE calculation of a relaxed La2IrPtN crystal, from Alexandria via LeMat-Bulk.

abc: 5.2610 5.2610 3.8199
angles: 90.00 90.00 90.00
Fractional coordinates of all 5 atoms:
Ir 0.0000 0.0000 0.5000
N 0.0000 0.0000 0.0000
La 0.0000 0.5000 0.0000
Pt 0.5000 0.5000 0.5000
La 0.5000 0.0000 0.0000

Computed properties:
The density of states at the Fermi level comes out at 2.5 states/eV/cell. Its total moment is 0.0 μB per cell. The formation energy (no corrections) is -0.9629 eV per atom. As for the symmetry: P4/mmm, No. 123.

# 6
The following is a PBE calculation of a relaxed LaPu2IrN4 crystal, from Alexandria via LeMat-Bulk.

abc: 3.4274 6.1112 11.7976
angles: 90.00 90.00 106.29
Fractional coordinates of all 16 atoms:
La 0.1043 0.2087 0.7500
Pu 0.6300 0.2601 0.4477
N 0.0000 0.0000 0.5000
Ir 0.1568 0.3136 0.2500
N 0.4456 0.8913 0.7500
N 0.7339 0.4678 0.8920
Pu 0.6300 0.2601 0.0523
Pu 0.3700 0.7399 0.5523
N 0.5544 0.1087 0.2500
N 0.2661 0.5322 0.1080
Pu 0.3700 0.7399 0.9477
N 0.7339 0.4678 0.6080
N 0.0000 0.0000 0.0000
Ir 0.8432 0.6864 0.7500
La 0.8957 0.7913 0.2500
N 0.2661 0.5322 0.3920

Computed properties:
The density of states at the Fermi level comes out at 27.1 states/eV/cell. Its total moment is 14.9 μB per cell. The formation energy (no corrections) is -0.8939 eV per atom. As for the symmetry: Cmcm, No. 63.

# 7
The following is a PBE calculation of a relaxed RbLaIrN2 crystal, from Alexandria via LeMat-Bulk.

abc: 4.5297 5.0545 4.5297
angles: 90.00 90.00 90.00
Fractional coordinates of all 5 atoms:
Rb 0.0000 0.0000 0.0000
N 0.5000 0.0000 0.0000
Ir 0.0000 0.5000 0.0000
N 0.0000 0.0000 0.5000
La 0.5000 0.5000 0.5000

Computed properties:
The density of states at the Fermi level comes out at 4.0 states/eV/cell. Its total moment is 1.8 μB per cell. The formation energy (no corrections) is 2.0750 eV per atom. As for the symmetry: P4/mmm, No. 123.

# 8
The following is a PBE calculation of a relaxed RbLaIr2N crystal, from Alexandria via LeMat-Bulk.

abc: 4.1744 5.2657 4.1744
angles: 90.00 90.00 90.00
Fractional coordinates of all 5 atoms:
La 0.5000 0.5000 0.5000
Ir 0.5000 0.0000 0.0000
Ir 0.0000 0.0000 0.5000
Rb 0.0000 0.5000 0.0000
N 0.0000 0.0000 0.0000

Computed properties:
The density of states at the Fermi level comes out at 4.7 states/eV/cell. Its total moment is 0.0 μB per cell. The formation energy (no corrections) is 0.5455 eV per atom. As for the symmetry: P4/mmm, No. 123.